# 1
First-principles (PBE) data for an optimized crystal structure of RbHg3Pd, as listed in Alexandria via LeMat-Bulk.

E above lowest polymorph in meV per atom: 45
Calculated formation energy in eV per atom: -0.21
Raw total energy in eV/atom: -1.624
DOS at the Fermi energy in states/eV/f.u.: 1.84

a b c (Å): 7.2555 7.2555 7.8749
angles (deg): 118.86 118.86 60.40
With the nearest neighbours (Å) after each atom.
Fractional positions:
Rb (0.0000, 0.0000, 0.0000)  9 Hg 3.59-3.82, 1 Rb 4.01
Rb (0.1323, 0.1323, 0.5955)  9 Hg 3.62-3.73, 1 Rb 4.01
Hg (0.0244, 0.5331, 0.0877)  2 Pd 2.81-2.83, 1 Hg 2.97
Hg (0.1624, 0.6003, 0.5545)  2 Pd 2.75-2.76
Hg (0.4577, 0.4577, 0.0725)  2 Pd 2.78-2.81, 2 Hg 2.97
Hg (0.5331, 0.0244, 0.0877)  2 Pd 2.81-2.83, 1 Hg 2.97
Hg (0.6003, 0.1624, 0.5545)  2 Pd 2.75-2.76
Hg (0.6420, 0.6420, 0.5717)  2 Pd 2.79
Pd (0.5746, 0.5746, 0.8551)  6 Hg 2.76-2.81, 1 Pd 2.96
Pd (0.7245, 0.7245, 0.3077)  6 Hg 2.75-2.83, 1 Pd 2.96

# 2
First-principles (PBE) data for an optimized crystal structure of Sc2SbS, as listed in Alexandria via LeMat-Bulk.

E above lowest polymorph in meV per atom: 0
Formation energy without anion corrections in eV per formula unit: -5.70
Raw total energy in eV/atom: -6.653
DOS at the Fermi energy in states/eV/f.u.: 1.63

a b c (Å): 6.7096 3.9973 13.2278
angles (deg): 90.00 90.00 90.00
With the nearest neighbours (Å) after each atom.
Fractional positions:
Sc (0.1610, 0.2500, 0.2424)  2 S 2.53-2.60
Sc (0.2378, 0.2500, 0.5056)  3 S 2.58-2.61
Sc (0.2622, 0.7500, 0.0056)  3 S 2.58-2.61
Sc (0.3390, 0.7500, 0.7424)  2 S 2.53-2.60
Sc (0.6610, 0.2500, 0.2576)  2 S 2.53-2.60
Sc (0.7378, 0.2500, 0.9944)  3 S 2.58-2.61
Sc (0.7622, 0.7500, 0.4944)  3 S 2.58-2.61
Sc (0.8390, 0.7500, 0.7576)  2 S 2.53-2.60
Sb (0.0946, 0.2500, 0.8586)  7 Sc 2.95-3.01
Sb (0.4054, 0.7500, 0.3586)  7 Sc 2.95-3.01
Sb (0.5946, 0.2500, 0.6414)  7 Sc 2.95-3.01
Sb (0.9054, 0.7500, 0.1414)  7 Sc 2.95-3.01
S (0.0805, 0.7500, 0.6035)  5 Sc 2.53-2.61
S (0.4195, 0.2500, 0.1035)  5 Sc 2.53-2.61
S (0.5805, 0.7500, 0.8965)  5 Sc 2.53-2.61
S (0.9195, 0.2500, 0.3965)  5 Sc 2.53-2.61

# 3
First-principles (PBE) data for an optimized crystal structure of TlCd3In2, as listed in Alexandria via LeMat-Bulk.

Calculated formation energy in eV per atom: 0.06
Raw total energy in eV/atom: -1.707
DOS at the Fermi energy in states/eV/f.u.: 3.08

a b c (Å): 3.5471 3.5471 12.3998
angles (deg): 90.00 90.00 90.00
With the nearest neighbours (Å) after each atom.
Fractional positions:
Tl (0.0000, 0.0000, 0.0000)  8 Cd 3.32, 4 Tl 3.55
Cd (0.5000, 0.5000, 0.1758)  4 In 3.21, 4 Tl 3.32, 4 Cd 3.55
Cd (0.5000, 0.5000, 0.5000)  8 In 3.22, 4 Cd 3.55
Cd (0.5000, 0.5000, 0.8242)  4 In 3.21, 4 Tl 3.32, 4 Cd 3.55
In (0.0000, 0.0000, 0.3374)  8 Cd 3.21-3.22, 4 In 3.55
In (0.0000, 0.0000, 0.6626)  8 Cd 3.21-3.22, 4 In 3.55

# 4
First-principles (PBE) data for an optimized crystal structure of MgMnRe4, as listed in Alexandria via LeMat-Bulk.

Calculated formation energy in eV per atom: 0.34
Raw total energy in eV/atom: -9.749
DOS at the Fermi energy in states/eV/f.u.: 3.64

a b c (Å): 5.2019 5.2019 5.2019
angles (deg): 60.00 60.00 60.00
With the nearest neighbours (Å) after each atom.
Fractional positions:
Mg (0.0000, 0.0000, 0.0000)  12 Re 3.05, 4 Mn 3.19
Mn (0.7500, 0.7500, 0.7500)  12 Re 3.05, 4 Mg 3.19
Re (0.3753, 0.3753, 0.3753)  6 Re 2.59-2.61
Re (0.3753, 0.3753, 0.8740)  6 Re 2.59-2.61
Re (0.3753, 0.8740, 0.3753)  6 Re 2.59-2.61
Re (0.8740, 0.3753, 0.3753)  6 Re 2.59-2.61

# 5
First-principles (PBE) data for an optimized crystal structure of NaPr5In4, as listed in Alexandria via LeMat-Bulk.

Calculated formation energy in eV per atom: -0.35
Raw total energy in eV/atom: -3.972
DOS at the Fermi energy in states/eV/f.u.: 5.41

a b c (Å): 3.7841 3.7841 21.4975
angles (deg): 90.00 90.00 90.00
With the nearest neighbours (Å) after each atom.
Fractional positions:
Na (0.0000, 0.0000, 0.0000)  8 Pr 3.68, 4 Na 3.78
Pr (0.5000, 0.5000, 0.1173)  4 In 3.31, 4 Na 3.68
Pr (0.5000, 0.5000, 0.3073)  8 In 3.38-3.43
Pr (0.5000, 0.5000, 0.5000)  8 In 3.39, 4 Pr 3.78
Pr (0.5000, 0.5000, 0.6927)  8 In 3.38-3.43
Pr (0.5000, 0.5000, 0.8827)  4 In 3.31, 4 Na 3.68
In (0.0000, 0.0000, 0.2076)  8 Pr 3.31-3.43
In (0.0000, 0.0000, 0.4032)  8 Pr 3.38-3.39
In (0.0000, 0.0000, 0.5968)  8 Pr 3.38-3.39
In (0.0000, 0.0000, 0.7924)  8 Pr 3.31-3.43

# 6
First-principles (PBE) data for an optimized crystal structure of BaCa2Re, as listed in Alexandria via LeMat-Bulk.

E above lowest polymorph in meV per atom: 210
Calculated formation energy in eV per atom: 0.92
Raw total energy in eV/atom: -3.670
DOS at the Fermi energy in states/eV/f.u.: 4.18

a b c (Å): 4.9014 4.9014 5.0137
angles (deg): 90.00 90.00 90.00
With the nearest neighbours (Å) after each atom.
Fractional positions:
Ba (0.0000, 0.0000, 0.0000)  4 Re 3.47, 8 Ca 3.51
Ca (0.0000, 0.5000, 0.5000)  4 Ca 3.47, 4 Ba 3.51, 4 Re 3.51
Ca (0.5000, 0.0000, 0.5000)  4 Ca 3.47, 4 Ba 3.51, 4 Re 3.51
Re (0.5000, 0.5000, 0.0000)  4 Ba 3.47, 8 Ca 3.51

# 7
First-principles (PBE) data for an optimized crystal structure of Pt3Se4, as listed in Alexandria via LeMat-Bulk.

Formation energy without anion corrections in eV per formula unit: 1.26
Raw total energy in eV/atom: -4.400
DOS at the Fermi energy in states/eV/f.u.: 3.95

a b c (Å): 12.3800 12.3800 12.3800
angles (deg): 163.95 163.95 22.78
With the nearest neighbours (Å) after each atom.
Fractional positions:
Pt (0.0000, 0.0000, 0.0000)  8 Se 2.74
Pt (0.2846, 0.2846, 0.0000)  5 Se 2.64-2.67
Pt (0.7154, 0.7154, 0.0000)  5 Se 2.64-2.67
Se (0.1746, 0.1746, 0.0000)  5 Pt 2.64-2.67
Se (0.4486, 0.4486, 0.0000)  1 Se 2.49, 4 Pt 2.74
Se (0.5514, 0.5514, 0.0000)  1 Se 2.49, 4 Pt 2.74
Se (0.8254, 0.8254, 0.0000)  5 Pt 2.64-2.67

# 8
First-principles (PBE) data for an optimized crystal structure of Zr3PdPt, as listed in Alexandria via LeMat-Bulk.

E above lowest polymorph in meV per atom: 0
Calculated formation energy in eV per atom: 0.28
Raw total energy in eV/atom: -7.097
DOS at the Fermi energy in states/eV/f.u.: 10.10

a b c (Å): 5.0634 5.0634 5.0634
angles (deg): 90.00 90.00 90.00
With the nearest neighbours (Å) after each atom.
Fractional positions:
Zr (0.0000, 0.0000, 0.5000)  2 Pt 2.53
Zr (0.0000, 0.5000, 0.0000)  2 Pt 2.53
Zr (0.5000, 0.0000, 0.0000)  2 Pt 2.53
Pd (0.5000, 0.5000, 0.5000)  12 Zr 3.58
Pt (0.0000, 0.0000, 0.0000)  6 Zr 2.53